## Co2Si (PBE)

Data for an optimized crystal structure of Co2Si.

Its electronic total energy is -6.13 eV per atom. Its crystal system is tetragonal. As for the calculated density: 5.8 g/cm3. The value obtained for the total magnetization is 2.6 μB per cell.

The space group is P4_2/mnm (No. 136) and the conventional cell measures 4.8530, 4.8530 and 3.5225 Å, with angles of 90.00, 90.00 and 90.00 degrees. Symmetry generates all atoms from Co at (0.1873, 0.1873, 0.0000) and Si at (0.0000, 0.0000, 0.5000).